Entry 1:
Material: La3TiN4
Method: DFT, PBE
State: relaxed

Lattice parameters (Å, degrees): 7.7312 6.9047 5.6685 90.00 90.00 90.00
With the nearest neighbours (Å) after each atom.
Fractional coordinates of all 16 atoms:
La  0.0000  0.1425  0.0000  4 N 2.34-2.56
La  0.2494  0.3354  0.5008  4 N 2.37-2.53
La  0.2506  0.6646  0.0008  4 N 2.37-2.53
La  0.5000  0.8575  0.5000  4 N 2.34-2.56
La  0.7494  0.6646  0.0008  4 N 2.37-2.53
La  0.7506  0.3354  0.5008  4 N 2.37-2.53
Ti  0.0000  0.8281  0.4814  4 N 1.92-2.00
Ti  0.5000  0.1719  0.9814  4 N 1.92-2.00
N  0.0000  0.1123  0.5493  1 Ti 2.00
N  0.0000  0.8241  0.1430  1 Ti 1.92
N  0.2176  0.6905  0.5585  1 Ti 1.98
N  0.2824  0.3095  0.0585  1 Ti 1.98
N  0.5000  0.1759  0.6430  1 Ti 1.92
N  0.5000  0.8877  0.0493  1 Ti 2.00
N  0.7176  0.3095  0.0585  1 Ti 1.98
N  0.7824  0.6905  0.5585  1 Ti 1.98

Properties
energy relative to the elements, uncorrected	-1.349	eV per atom
SG	Pmn2_1 (31)
DOS(E_F)	0.398	states/eV/atom

***

Entry 2:
Material: LaTiN2
Method: DFT, PBE
State: relaxed

Lattice parameters (Å, degrees): 5.4792 5.4792 5.4792 116.96 116.96 95.34
With the nearest neighbours (Å) after each atom.
Fractional coordinates of all 8 atoms:
La  0.0000  0.0000  0.0000  4 N 2.53
La  0.7500  0.2500  0.5000  4 N 2.53
Ti  0.2500  0.7500  0.5000  4 N 1.97
Ti  0.5000  0.5000  0.0000  4 N 1.97
N  0.2020  0.1250  0.5770  2 Ti 1.97
N  0.3750  0.7980  0.9230  2 Ti 1.97
N  0.5480  0.6250  0.4230  2 Ti 1.97
N  0.8750  0.4520  0.0770  2 Ti 1.97

Properties
energy relative to the elements, uncorrected	-1.281	eV per atom
SG	I-42d (122)
DOS(E_F)	0.339	states/eV/atom

***

Entry 3:
Material: LaTiN2
Method: DFT, PBE
State: relaxed

Lattice parameters (Å, degrees): 4.1520 4.1520 4.1520 60.00 60.00 60.00
With the nearest neighbours (Å) after each atom.
Fractional coordinates of all 4 atoms:
La  0.0000  0.0000  0.0000  8 N 2.54
Ti  0.5000  0.5000  0.5000  8 N 2.54
N  0.2500  0.2500  0.2500  4 La 2.54, 4 Ti 2.54
N  0.7500  0.7500  0.7500  4 La 2.54, 4 Ti 2.54

Properties
energy relative to the elements, uncorrected	-0.455	eV per atom
SG	Fm-3m (225)
DOS(E_F)	0.497	states/eV/atom

***

Entry 4:
Material: LaTi4N6
Method: DFT, PBE
State: relaxed

Lattice parameters (Å, degrees): 5.2723 5.2723 15.7033 90.00 90.00 146.03
With the nearest neighbours (Å) after each atom.
Fractional coordinates of all 22 atoms:
La  0.1545  0.8455  0.7500  6 N 2.47-2.52
La  0.8455  0.1545  0.2500  6 N 2.47-2.52
Ti  0.1040  0.8960  0.1299  5 N 1.95-2.14
Ti  0.1040  0.8960  0.3701  5 N 1.95-2.14
Ti  0.3697  0.6303  0.0469  1 N 1.90
Ti  0.3697  0.6303  0.4531  1 N 1.90
Ti  0.6303  0.3697  0.5469  1 N 1.90
Ti  0.6303  0.3697  0.9531  1 N 1.90
Ti  0.8960  0.1040  0.6299  5 N 1.95-2.14
Ti  0.8960  0.1040  0.8701  5 N 1.95-2.14
N  0.0000  0.0000  0.0000  6 Ti 2.15-2.29
N  0.0000  0.0000  0.5000  6 Ti 2.15-2.29
N  0.1534  0.8466  0.2500  2 Ti 1.95
N  0.2675  0.7325  0.5838  5 Ti 2.14-2.30
N  0.2675  0.7325  0.9162  5 Ti 2.14-2.30
N  0.4672  0.5328  0.1504  3 Ti 1.90-2.09
N  0.4672  0.5328  0.3496  3 Ti 1.90-2.09
N  0.5328  0.4672  0.6504  3 Ti 1.90-2.09
N  0.5328  0.4672  0.8496  3 Ti 1.90-2.09
N  0.7325  0.2675  0.0838  5 Ti 2.14-2.30
N  0.7325  0.2675  0.4162  5 Ti 2.14-2.30
N  0.8466  0.1534  0.7500  2 Ti 1.95

Properties
energy relative to the elements, uncorrected	-1.502	eV per atom
SG	Cmcm (63)
DOS(E_F)	0.193	states/eV/atom

***

Entry 5:
Material: La2TiTlN
Method: DFT, PBE
State: relaxed

Lattice parameters (Å, degrees): 5.3827 5.3827 4.0994 90.00 90.00 90.00
With the nearest neighbours (Å) after each atom.
Fractional coordinates of all 5 atoms:
La  0.0000  0.5000  0.0000  2 N 2.69
La  0.5000  0.0000  0.0000  2 N 2.69
Ti  0.0000  0.0000  0.5000  2 N 2.05
Tl  0.5000  0.5000  0.5000  8 La 3.38
N  0.0000  0.0000  0.0000  2 Ti 2.05

Properties
energy relative to the elements, uncorrected	-0.746	eV per atom
SG	P4/mmm (123)
DOS(E_F)	0.827	states/eV/atom

***

Entry 6:
Material: LaTmTiN3
Method: DFT, PBE
State: relaxed

Lattice parameters (Å, degrees): 7.2672 3.5547 7.7954 90.00 100.51 90.00
With the nearest neighbours (Å) after each atom.
Fractional coordinates of all 12 atoms:
La  0.1819  0.2500  0.1832  5 N 2.52-2.80
La  0.8181  0.7500  0.8168  5 N 2.52-2.80
Tm  0.3607  0.7500  0.8503  5 N 2.23-2.49
Tm  0.6393  0.2500  0.1497  5 N 2.23-2.49
Ti  0.1049  0.2500  0.5994  4 N 1.93-2.07
Ti  0.8951  0.7500  0.4006  4 N 1.93-2.07
N  0.1196  0.2500  0.8496  1 Ti 1.93
N  0.1731  0.7500  0.5204  3 Ti 1.97-2.07
N  0.4148  0.7500  0.1415  3 Tm 2.23-2.41
N  0.5852  0.2500  0.8585  3 Tm 2.23-2.41
N  0.8269  0.2500  0.4796  3 Ti 1.97-2.07
N  0.8804  0.7500  0.1504  1 Ti 1.93

Properties
energy relative to the elements, uncorrected	-1.362	eV per atom
SG	P2_1/m (11)
DOS(E_F)	0.242	states/eV/atom

***

Entry 7:
Material: La2UTiN5
Method: DFT, PBE
State: relaxed

Lattice parameters (Å, degrees): 7.2945 7.2945 10.7290 90.00 90.00 152.01
With the nearest neighbours (Å) after each atom.
Fractional coordinates of all 18 atoms:
La  0.1070  0.8930  0.5000  5 N 2.52-2.70
La  0.1353  0.8647  0.0990  5 N 2.55-2.70
La  0.8647  0.1353  0.5990  5 N 2.55-2.70
La  0.8930  0.1070  0.0000  5 N 2.52-2.70
U  0.2129  0.7871  0.8136  6 N 2.22-2.29
U  0.7871  0.2129  0.3136  6 N 2.22-2.29
Ti  0.4875  0.5125  0.2703  4 N 1.89-2.00
Ti  0.5125  0.4875  0.7703  4 N 1.89-2.00
N  0.0527  0.9473  0.8370  2 Ti 1.99
N  0.2799  0.7201  0.4444  2 U 2.26, 1 La 2.52
N  0.3048  0.6952  0.1899  2 U 2.22
N  0.3749  0.6251  0.8113  1 Ti 2.00
N  0.4945  0.5055  0.5959  1 Ti 1.89
N  0.5055  0.4945  0.0959  1 Ti 1.89
N  0.6251  0.3749  0.3113  1 Ti 2.00
N  0.6952  0.3048  0.6899  2 U 2.22
N  0.7201  0.2799  0.9444  2 U 2.26, 1 La 2.52
N  0.9473  0.0527  0.3370  2 Ti 1.99

Properties
energy relative to the elements, uncorrected	-1.442	eV per atom
SG	Cmc2_1 (36)
DOS(E_F)	0.366	states/eV/atom

***

Entry 8:
Material: La2TiVN5
Method: DFT, PBE
State: relaxed

Lattice parameters (Å, degrees): 7.2947 7.2947 10.4447 90.00 90.00 153.57
With the nearest neighbours (Å) after each atom.
Fractional coordinates of all 18 atoms:
La  0.1173  0.8827  0.5000  6 N 2.50-2.77
La  0.1347  0.8653  0.1422  7 N 2.52-2.75
La  0.8653  0.1347  0.6422  7 N 2.52-2.75
La  0.8827  0.1173  0.0000  6 N 2.50-2.77
Ti  0.2100  0.7900  0.8521  1 N 1.86
Ti  0.7900  0.2100  0.3521  1 N 1.86
V  0.4434  0.5566  0.2630  4 N 1.76-1.88
V  0.5566  0.4434  0.7630  4 N 1.76-1.88
N  0.0394  0.9606  0.8428  2 V 1.88
N  0.2923  0.7077  0.4735  2 Ti 2.10
N  0.3221  0.6779  0.2089  1 V 1.81
N  0.3398  0.6602  0.8296  1 Ti 1.86
N  0.4972  0.5028  0.6150  1 V 1.76
N  0.5028  0.4972  0.1150  1 V 1.76
N  0.6602  0.3398  0.3296  1 Ti 1.86
N  0.6779  0.3221  0.7089  1 V 1.81
N  0.7077  0.2923  0.9735  2 Ti 2.10
N  0.9606  0.0394  0.3428  2 V 1.88

Properties
energy relative to the elements, uncorrected	-1.314	eV per atom
SG	Cmc2_1 (36)

***

Entry 9:
Material: LaTiVN2
Method: DFT, PBE
State: relaxed

Lattice parameters (Å, degrees): 3.9844 3.9844 4.8300 90.00 90.00 90.00
With the nearest neighbours (Å) after each atom.
Fractional coordinates of all 5 atoms:
La  0.0000  0.0000  0.0000  2 V 2.41
Ti  0.5000  0.5000  0.0000  4 La 2.82, 8 N 3.13
V  0.0000  0.0000  0.5000  4 N 1.99
N  0.0000  0.5000  0.5000  2 V 1.99
N  0.5000  0.0000  0.5000  2 V 1.99

Properties
energy relative to the elements, uncorrected	0.877	eV per atom
SG	P4/mmm (123)
DOS(E_F)	0.941	states/eV/atom

***

Entry 10:
Material: La2TiWN5
Method: DFT, PBE
State: relaxed

Lattice parameters (Å, degrees): 7.2476 7.2476 10.5902 90.00 90.00 152.76
With the nearest neighbours (Å) after each atom.
Fractional coordinates of all 18 atoms:
La  0.1158  0.8842  0.5000  3 N 2.41-2.52
La  0.1445  0.8555  0.1306  7 N 2.56-2.72
La  0.8555  0.1445  0.6306  7 N 2.56-2.72
La  0.8842  0.1158  0.0000  3 N 2.41-2.52
Ti  0.2193  0.7807  0.8499  1 N 1.87
Ti  0.7807  0.2193  0.3499  1 N 1.87
W  0.4483  0.5517  0.2747  4 N 1.85-1.94
W  0.5517  0.4483  0.7747  4 N 1.85-1.94
N  0.0477  0.9523  0.8624  2 W 1.94
N  0.2862  0.7138  0.4754  2 Ti 2.17, 1 La 2.41
N  0.3203  0.6797  0.2145  1 W 1.91
N  0.3514  0.6486  0.8305  1 Ti 1.87
N  0.4948  0.5052  0.6176  1 W 1.85
N  0.5052  0.4948  0.1176  1 W 1.85
N  0.6486  0.3514  0.3305  1 Ti 1.87
N  0.6797  0.3203  0.7145  1 W 1.91
N  0.7138  0.2862  0.9754  2 Ti 2.17, 1 La 2.41
N  0.9523  0.0477  0.3624  2 W 1.94

Properties
energy relative to the elements, uncorrected	-1.159	eV per atom
SG	Cmc2_1 (36)
DOS(E_F)	0.311	states/eV/atom

***

Entry 11:
Material: LaTiWN2
Method: DFT, PBE
State: relaxed

Lattice parameters (Å, degrees): 4.0859 4.0859 4.9355 90.00 90.00 90.00
With the nearest neighbours (Å) after each atom.
Fractional coordinates of all 5 atoms:
La  0.0000  0.0000  0.0000  4 Ti 2.89, 8 N 3.20
Ti  0.5000  0.5000  0.0000  2 W 2.47
W  0.5000  0.5000  0.5000  4 N 2.04
N  0.0000  0.5000  0.5000  2 W 2.04
N  0.5000  0.0000  0.5000  2 W 2.04

Properties
energy relative to the elements, uncorrected	0.306	eV per atom
SG	P4/mmm (123)
DOS(E_F)	0.908	states/eV/atom

***

Summary of E in eV per cell
-133.5, -69.2, -31.3, -206.0, -32.2, -100.9, -167.3, -160.6, -34.2, -165.5, -40.9
(order as listed above)
Summary of magnetization in μB per atom
0.055, 0.000, 0.176, 0.000, 0.393, 0.000, 0.099, 0.000, 0.000, 0.000, 0.043
(order as listed above)